# 1
Here is a geometry-optimized YTaPt3 structure from Alexandria. Energies are from PBE.

Calculated formation energy = -0.068 eV per atom

a b c (Å): 4.8992 4.8992 4.8992
angles (deg): 90.00 90.00 90.00
Last column: nearest neighbours and their distance in Å.
Space group Pm-3m (No. 221)
Inequivalent atoms, fractional coordinates:
Y1 0.0000 0.0000 0.0000  12 Pt 3.46
Ta1 0.5000 0.5000 0.5000  6 Pt 2.45
Pt1 0.0000 0.5000 0.5000  2 Ta 2.45

---

# 2
Here is a geometry-optimized NdSc2Sb2 structure from Alexandria. Energies are from PBE.

E_form (uncorrected) = -3.2 eV/f.u.

a b c (Å): 9.7393 11.6277 6.1626
angles (deg): 90.00 123.53 90.00
Last column: nearest neighbours and their distance in Å.
Space group C2/c (No. 15)
Inequivalent atoms, fractional coordinates:
Nd1 0.0000 0.1052 0.2500  4 Sb 3.20-3.32, 2 Sc 3.56
Sc1 0.1721 0.4022 0.9913  4 Sb 2.83-2.99, 1 Sc 3.01
Sb1 0.0000 0.1803 0.7500  4 Sc 2.83-2.99
Sb2 0.0000 0.3813 0.2500  4 Sc 2.89-2.93, 1 Nd 3.21